[1]
CrCu2Mo: optimized geometry, PBE.

abc: 5.965 5.965 5.965
angles: 90.00 90.00 90.00
Atoms (fractional coordinates):
Cr  0.000  0.000  0.000
Cr  0.000  0.500  0.500
Cr  0.500  0.000  0.500
Cr  0.500  0.500  0.000
Cu  0.000  0.000  0.500
Cu  0.000  0.500  0.000
Cu  0.250  0.250  0.250
Cu  0.250  0.750  0.750
Cu  0.500  0.000  0.000
Cu  0.500  0.500  0.500
Cu  0.750  0.250  0.750
Cu  0.750  0.750  0.250
Mo  0.250  0.250  0.750
Mo  0.250  0.750  0.250
Mo  0.750  0.250  0.250
Mo  0.750  0.750  0.750

Calculated values
As for the energy above the most stable polymorph in this dataset: 0.2036 eV per atom. The space-group type is F-43m, No. 216. Its calculated total energy is -6.754 eV/atom. The calculation puts the energy of formation from the pure elements at 0.408 eV per atom.


[2]
Cr2CuNiMo: optimized geometry, PBE.

abc: 4.230 4.230 4.132
angles: 90.00 90.00 90.00
Atoms (fractional coordinates):
Cr  0.000  0.500  0.000
Cr  0.500  0.000  0.000
Cu  0.000  0.000  0.000
Ni  0.000  0.000  0.500
Mo  0.500  0.500  0.500

Calculated values
The space-group type is P4/mmm, No. 123. Its calculated total energy is -6.485 eV/atom. The calculation puts the energy of formation from the pure elements at 1.506 eV per atom.